Record 1
Compound: Li2Cd2Hg
Source: Alexandria via LeMat-Bulk
Functional: PBEsol
Structure: relaxed

Theoretical density in g/cm³: 7.81
Energy relative to the elements in eV per atom: -0.2168
D(E_F) in states/eV/cell: 2.42

Cell: 7.5855 7.5855 3.2454 Å, 90.00 90.00 90.00°
Closest atoms and distances in Å follow each position.
Space group P4/mbm (No. 127)
Symmetry-distinct sites (fractional):
Li  0.1632  0.3368  0.0000 x4  6 Cd 2.71-2.79
Cd  0.1345  0.6345  0.5000 x4  6 Li 2.71-2.79, 1 Cd 2.88, 2 Hg 2.95
Hg  0.0000  0.0000  0.5000 x2  4 Cd 2.95, 2 Hg 3.25, 8 Li 3.27

Record 2
Compound: ZnRe2Ni
Source: Alexandria via LeMat-Bulk
Functional: PBEsol
Structure: relaxed

Theoretical density in g/cm³: 15.37
Energy relative to the elements in eV per atom: 0.1173
D(E_F) in states/eV/cell: 3.00

Cell: 2.6851 3.8142 5.2366 Å, 90.00 90.00 90.00°
Closest atoms and distances in Å follow each position.
Space group Pmm2 (No. 25)
Symmetry-distinct sites (fractional):
Zn  0.0000  0.0000  0.0000 x1  6 Re 2.57-2.76, 4 Ni 2.59, 2 Zn 2.69
Re  0.0000  0.0000  0.4910 x1  2 Zn 2.57-2.67, 6 Re 2.62-2.69, 4 Ni 2.75
Re  0.5000  0.5000  0.7195 x1  2 Ni 2.58-2.65, 6 Re 2.62-2.69, 4 Zn 2.76
Ni  0.5000  0.5000  0.2130 x1  6 Re 2.58-2.75, 4 Zn 2.59, 2 Ni 2.69

Record 3
Compound: BiAs3F
Source: Alexandria via LeMat-Bulk
Functional: PBEsol
Structure: relaxed

Theoretical density in g/cm³: 7.61
D(E_F) in states/eV/cell: 2.59
Uncorrected formation energy in meV per atom: 135

Cell: 4.6223 4.6223 4.6223 Å, 90.00 90.00 90.00°
Closest atoms and distances in Å follow each position.
Space group Pm-3m (No. 221)
Symmetry-distinct sites (fractional):
Bi  0.0000  0.0000  0.0000 x1  12 As 3.27
As  0.0000  0.5000  0.5000 x3  2 F 2.31
F  0.5000  0.5000  0.5000 x1  6 As 2.31

Record 4
Compound: YSc2Rh
Source: Alexandria via LeMat-Bulk
Functional: PBEsol
Structure: relaxed

Polymorph energy (0 for the lowest one) in meV per atom: 33
Theoretical density in g/cm³: 5.48
Energy relative to the elements in eV per atom: -0.4361
D(E_F) in states/eV/cell: 7.54

Cell: 3.4575 4.9365 9.9952 Å, 90.00 90.00 90.00°
Closest atoms and distances in Å follow each position.
Space group Imm2 (No. 44)
Symmetry-distinct sites (fractional):
Y  0.0000  0.0000  0.0000 x2  2 Rh 2.76
Sc  0.0000  0.0000  0.5915 x2  2 Rh 2.59
Sc  0.0000  0.5000  0.7926 x2  4 Rh 3.01, 2 Sc 3.18, 2 Y 3.22
Rh  0.0000  0.5000  0.2844 x2  2 Sc 2.59, 2 Y 2.76

Record 5
Compound: PrMnNi4
Source: Alexandria via LeMat-Bulk
Functional: PBEsol
Structure: relaxed

Theoretical density in g/cm³: 8.52
Energy relative to the elements in eV per atom: -0.1605
D(E_F) in states/eV/cell: 6.21

Cell: 4.9851 4.9851 3.9006 Å, 90.00 90.00 120.00°
Closest atoms and distances in Å follow each position.
Space group P-6m2 (No. 187)
Symmetry-distinct sites (fractional):
Pr  0.0000  0.0000  0.0000 x1  3 Mn 2.88, 15 Ni 2.88-3.16
Mn  0.6667  0.3333  0.0000 x1  6 Ni 2.43
Ni  0.0038  0.5019  0.5000 x3  6 Ni 2.41-2.52, 2 Mn 2.43
Ni  0.3333  0.6667  0.0000 x1  6 Ni 2.41

Record 6
Compound: YNb3I
Source: Alexandria via LeMat-Bulk
Functional: PBEsol
Structure: relaxed

Theoretical density in g/cm³: 6.60
D(E_F) in states/eV/cell: 5.58
Uncorrected formation energy in meV per atom: 2064

Cell: 4.9933 4.9933 4.9933 Å, 90.00 90.00 90.00°
Closest atoms and distances in Å follow each position.
Space group Pm-3m (No. 221)
Symmetry-distinct sites (fractional):
Y  0.0000  0.0000  0.0000 x1  6 Nb 2.50
Nb  0.0000  0.0000  0.5000 x3  2 Y 2.50
I  0.5000  0.5000  0.5000 x1  12 Nb 3.53

Record 7
Compound: CrCd3Cl
Source: Alexandria via LeMat-Bulk
Functional: PBEsol
Structure: relaxed

Polymorph energy (0 for the lowest one) in meV per atom: 405
Theoretical density in g/cm³: 5.04
D(E_F) in states/eV/cell: 3.28
Uncorrected formation energy in meV per atom: 929

Cell: 5.1928 5.1928 5.1928 Å, 90.00 90.00 90.00°
Closest atoms and distances in Å follow each position.
Space group Pm-3m (No. 221)
Symmetry-distinct sites (fractional):
Cr  0.0000  0.0000  0.0000 x1  12 Cd 3.67
Cd  0.0000  0.5000  0.5000 x3  2 Cl 2.60
Cl  0.5000  0.5000  0.5000 x1  6 Cd 2.60

Record 8
Compound: CdHgO2
Source: Alexandria via LeMat-Bulk
Functional: PBEsol
Structure: relaxed

Polymorph energy (0 for the lowest one) in meV per atom: 370
Theoretical density in g/cm³: 8.25
D(E_F) in states/eV/cell: 4.79
Uncorrected formation energy in meV per atom: -306

Cell: 3.5685 3.5685 18.8988 Å, 90.00 90.00 120.00°
Closest atoms and distances in Å follow each position.
Space group R-3m (No. 166, hexagonal axes)
Symmetry-distinct sites (fractional):
Cd  0.0000  0.0000  0.0000 x3  2 O 1.99
Hg  0.0000  0.0000  0.5000 x3  6 O 2.36
O  0.0000  0.0000  0.1052 x6  1 Cd 1.99

Record 9
Compound: YTlSb2
Source: Alexandria via LeMat-Bulk
Functional: PBEsol
Structure: relaxed

Polymorph energy (0 for the lowest one) in meV per atom: 81
Theoretical density in g/cm³: 8.54
D(E_F) in states/eV/cell: 2.08
Uncorrected formation energy in meV per atom: -461

Cell: 4.9456 4.9456 4.2663 Å, 90.00 90.00 90.00°
Closest atoms and distances in Å follow each position.
Space group P4/mmm (No. 123)
Symmetry-distinct sites (fractional):
Y  0.0000  0.0000  0.0000 x1  8 Sb 3.27, 4 Tl 3.50
Tl  0.5000  0.5000  0.0000 x1  8 Sb 3.27, 4 Y 3.50
Sb  0.0000  0.5000  0.5000 x2  4 Tl 3.27, 4 Y 3.27, 4 Sb 3.50

Record 10
Compound: Y3Ni
Source: Alexandria via LeMat-Bulk
Functional: PBEsol
Structure: relaxed

Theoretical density in g/cm³: 5.65
Energy relative to the elements in eV per atom: 0.1504
D(E_F) in states/eV/cell: 4.17

Cell: 5.0090 5.0090 3.8128 Å, 90.00 90.00 90.00°
Closest atoms and distances in Å follow each position.
Space group P4/mmm (No. 123)
Symmetry-distinct sites (fractional):
Y  0.0000  0.0000  0.0000 x1  8 Y 3.15
Y  0.0000  0.5000  0.5000 x2  4 Ni 3.15, 4 Y 3.15
Ni  0.5000  0.5000  0.0000 x1  8 Y 3.15

Record 11
Compound: Tl2TcRu
Source: Alexandria via LeMat-Bulk
Functional: PBEsol
Structure: relaxed

Polymorph energy (0 for the lowest one) in meV per atom: 379
Theoretical density in g/cm³: 14.58
Energy relative to the elements in eV per atom: 0.7562
D(E_F) in states/eV/cell: 4.70

Cell: 4.6166 4.6166 3.2491 Å, 90.00 90.00 90.00°
Closest atoms and distances in Å follow each position.
Space group P4/mmm (No. 123)
Symmetry-distinct sites (fractional):
Tl  0.0000  0.5000  0.0000 x2  4 Tc 2.82, 4 Ru 2.82
Tc  0.0000  0.0000  0.5000 x1  8 Tl 2.82
Ru  0.5000  0.5000  0.5000 x1  8 Tl 2.82

Record 12
Compound: LiZrMn
Source: Alexandria via LeMat-Bulk
Functional: PBEsol
Structure: relaxed

Polymorph energy (0 for the lowest one) in meV per atom: 0
Theoretical density in g/cm³: 4.85
Energy relative to the elements in eV per atom: 0.3534
D(E_F) in states/eV/cell: 4.46

Cell: 2.9553 2.9553 11.9976 Å, 90.00 90.00 90.00°
Closest atoms and distances in Å follow each position.
Space group I4mm (No. 107)
Symmetry-distinct sites (fractional):
Li  0.0000  0.0000  0.0000 x2  4 Mn 2.74, 4 Li 2.96
Zr  0.0000  0.0000  0.3001 x2  4 Mn 2.78, 4 Zr 2.96
Mn  0.0000  0.0000  0.6475 x2  4 Li 2.74, 4 Zr 2.78, 4 Mn 2.96